P) Material: SrNiI2N
Method: DFT, GGA-PBE
State: optimized geometry

## Properties
D(E_F) = 3.488 states/eV/f.u.

abc: 5.836 5.836 3.645
angles: 90.00 90.00 90.00
Space group P4/mmm (No. 123)
Inequivalent atoms, fractional coordinates:
1 Sr 0.000 0.000 0.000
2 Ni 0.500 0.500 0.500
3 I 0.000 0.500 0.500
4 N 0.500 0.500 0.000


Q) Material: SrNiI2N
Method: DFT, GGA-PBE
State: optimized geometry

## Properties
D(E_F) = 13.197 states/eV/f.u.

abc: 6.385 6.385 4.955
angles: 90.00 90.00 90.00
Space group P4/mmm (No. 123)
Inequivalent atoms, fractional coordinates:
1 Sr 0.000 0.000 0.000
2 Ni 0.500 0.500 0.500
3 I 0.000 0.500 0.000
4 N 0.000 0.000 0.500


Which structure is most stable, and how do the rest compare? From most to least stable: P), Q).


P) Material: SrNiIN2
Method: DFT, GGA-PBE
State: optimized geometry

## Properties
D(E_F) = 3.623 states/eV/f.u.

abc: 4.243 4.243 5.179
angles: 90.00 90.00 90.00
Space group P4/mmm (No. 123)
Inequivalent atoms, fractional coordinates:
1 Sr 0.000 0.000 0.000
2 Ni 0.500 0.500 0.500
3 I 0.500 0.500 0.000
4 N 0.000 0.500 0.500


Q) Material: SrNiIN2
Method: DFT, GGA-PBE
State: optimized geometry

## Properties
D(E_F) = 7.007 states/eV/f.u.

abc: 4.805 4.805 6.732
angles: 90.00 90.00 90.00
Space group P4/mmm (No. 123)
Inequivalent atoms, fractional coordinates:
1 Sr 0.000 0.000 0.000
2 Ni 0.500 0.500 0.500
3 I 0.000 0.000 0.500
4 N 0.000 0.500 0.000


Which structure is most stable, and how do the rest compare? From most to least stable: P), Q).


P) Material: TaNiI2N
Method: DFT, GGA-PBE
State: optimized geometry

## Properties
D(E_F) = 8.692 states/eV/f.u.

abc: 5.626 5.626 3.891
angles: 90.00 90.00 90.00
Space group P4/mmm (No. 123)
Inequivalent atoms, fractional coordinates:
1 Ta 0.000 0.000 0.000
2 Ni 0.500 0.500 0.500
3 I 0.000 0.500 0.000
4 N 0.000 0.000 0.500


Q) Material: TaNiI2N
Method: DFT, GGA-PBE
State: optimized geometry

## Properties
D(E_F) = 5.414 states/eV/f.u.

abc: 5.490 5.490 3.432
angles: 90.00 90.00 90.00
Space group P4/mmm (No. 123)
Inequivalent atoms, fractional coordinates:
1 Ta 0.000 0.000 0.000
2 Ni 0.500 0.500 0.500
3 I 0.000 0.500 0.500
4 N 0.500 0.500 0.000


Which structure is most stable, and how do the rest compare? From most to least stable: P), Q).


P) Material: TcNiIN2
Method: DFT, GGA-PBE
State: optimized geometry

## Properties
D(E_F) = 5.211 states/eV/f.u.

abc: 3.724 3.724 5.493
angles: 90.00 90.00 90.00
Space group P4/mmm (No. 123)
Inequivalent atoms, fractional coordinates:
1 Tc 0.000 0.000 0.000
2 Ni 0.500 0.500 0.500
3 I 0.500 0.500 0.000
4 N 0.000 0.500 0.500


Q) Material: TcNiIN2
Method: DFT, GGA-PBE
State: optimized geometry

## Properties
D(E_F) = 5.455 states/eV/f.u.

abc: 3.801 3.801 5.912
angles: 90.00 90.00 90.00
Space group P4/mmm (No. 123)
Inequivalent atoms, fractional coordinates:
1 Tc 0.000 0.000 0.000
2 Ni 0.500 0.500 0.500
3 I 0.000 0.000 0.500
4 N 0.000 0.500 0.000


R) Material: TcNiIN2
Method: DFT, GGA-PBE
State: optimized geometry

## Properties
D(E_F) = 3.128 states/eV/f.u.

abc: 4.080 4.080 4.681
angles: 90.00 90.00 90.00
Space group P4/mmm (No. 123)
Inequivalent atoms, fractional coordinates:
1 Tc 0.000 0.000 0.000
2 Ni 0.500 0.500 0.000
3 I 0.500 0.500 0.500
4 N 0.000 0.500 0.500


Which structure is most stable, and how do the rest compare? From most to least stable: Q), P), R).


P) Material: NiTeIN2
Method: DFT, GGA-PBE
State: optimized geometry

## Properties
D(E_F) = 2.007 states/eV/f.u.

abc: 4.101 4.101 5.572
angles: 90.00 90.00 90.00
Space group P4/mmm (No. 123)
Inequivalent atoms, fractional coordinates:
1 Ni 0.000 0.000 0.000
2 Te 0.000 0.000 0.500
3 I 0.500 0.500 0.500
4 N 0.000 0.500 0.000


Q) Material: NiTeIN2
Method: DFT, GGA-PBE
State: optimized geometry

## Properties
D(E_F) = 3.560 states/eV/f.u.

abc: 4.064 4.064 5.946
angles: 90.00 90.00 90.00
Space group P4/mmm (No. 123)
Inequivalent atoms, fractional coordinates:
1 Ni 0.000 0.000 0.000
2 Te 0.500 0.500 0.500
3 I 0.000 0.000 0.500
4 N 0.000 0.500 0.000


Which structure is most stable, and how do the rest compare? From most to least stable: P), Q).


P) Material: NiTeIN2
Method: DFT, GGA-PBE
State: optimized geometry

## Properties
D(E_F) = 5.259 states/eV/f.u.

abc: 3.891 3.891 7.132
angles: 90.00 90.00 90.00
Space group P4/mmm (No. 123)
Inequivalent atoms, fractional coordinates:
1 Ni 0.000 0.000 0.000
2 Te 0.500 0.500 0.000
3 I 0.500 0.500 0.500
4 N 0.000 0.500 0.500


Q) Material: NiTeIN2
Method: DFT, GGA-PBE
State: optimized geometry

## Properties
D(E_F) = 8.356 states/eV/f.u.

abc: 3.904 3.904 7.670
angles: 90.00 90.00 90.00
Space group P4/mmm (No. 123)
Inequivalent atoms, fractional coordinates:
1 Ni 0.000 0.000 0.000
2 Te 0.500 0.500 0.500
3 I 0.500 0.500 0.000
4 N 0.000 0.500 0.500


Which structure is most stable, and how do the rest compare? From most to least stable: Q), P).


P) Material: TiNiIN2
Method: DFT, GGA-PBE
State: optimized geometry

## Properties
D(E_F) = 6.660 states/eV/f.u.

abc: 3.840 3.840 5.073
angles: 90.00 90.00 90.00
Space group P4/mmm (No. 123)
Inequivalent atoms, fractional coordinates:
1 Ti 0.000 0.000 0.000
2 Ni 0.500 0.500 0.500
3 I 0.500 0.500 0.000
4 N 0.000 0.500 0.500


Q) Material: TiNiIN2
Method: DFT, GGA-PBE
State: optimized geometry

## Properties
D(E_F) = 4.728 states/eV/f.u.

abc: 3.840 3.840 6.063
angles: 90.00 90.00 90.00
Space group P4/mmm (No. 123)
Inequivalent atoms, fractional coordinates:
1 Ti 0.000 0.000 0.000
2 Ni 0.500 0.500 0.500
3 I 0.000 0.000 0.500
4 N 0.000 0.500 0.000


Which structure is most stable, and how do the rest compare? From most to least stable: Q), P).